Record 1
Computed, not measured: crystalline Dy7HPb4 at its relaxed geometry at the PBE-GGA level of DFT.

Results
space-group type = C2/m (12)
energy = -4.4957 eV/atom

```
Dy7HPb4
1.0
-3.291 -1.772 3.462
4.160 -6.740 4.254
2.025 3.555 7.494
Dy Pb H
7 4 1
Direct
0.362 0.555 0.721 Dy
0.788 0.856 0.568 Dy
0.931 0.261 0.877 Dy
0.212 0.144 0.432 Dy
0.638 0.445 0.279 Dy
0.500 0.000 0.000 Dy
0.069 0.739 0.123 Dy
0.579 0.211 0.632 Pb
0.720 0.654 0.906 Pb
0.421 0.789 0.368 Pb
0.280 0.346 0.094 Pb
0.000 0.000 0.000 H
```



Record 2
Computed, not measured: crystalline Dy4HPb2 at its relaxed geometry at the PBE-GGA level of DFT.

Results
space-group type = P2_1/m (11)
energy = -4.6486 eV/atom

```
Dy4HPb2
1.0
-3.006 3.204 4.596
-3.585 -5.283 1.338
7.400 -4.129 3.529
Pb H Dy
4 2 8
Direct
0.686 0.750 0.028 Pb
0.314 0.250 0.972 Pb
0.851 0.750 0.604 Pb
0.149 0.250 0.396 Pb
0.709 0.250 0.795 H
0.291 0.750 0.205 H
0.537 0.998 0.300 Dy
0.537 0.502 0.300 Dy
0.463 0.498 0.700 Dy
0.934 0.250 0.654 Dy
0.066 0.750 0.346 Dy
0.864 0.250 0.054 Dy
0.463 0.002 0.700 Dy
0.136 0.750 0.946 Dy
```



Record 3
Computed, not measured: crystalline Dy2H2Pb at its relaxed geometry at the PBE-GGA level of DFT.

Results
space-group type = Fmmm (69)
energy = -4.5619 eV/atom

```
Dy2H2Pb
1.0
3.983 0.418 -0.196
-0.438 3.981 -0.196
-1.536 -1.906 5.615
Dy H Pb
2 2 1
Direct
0.344 0.344 0.689 Dy
0.656 0.656 0.311 Dy
0.750 0.250 0.500 H
0.250 0.750 0.500 H
0.000 0.000 0.000 Pb
```



Which of these has the highest energy?
Dy7HPb4